No. 1
TeSI2 | Alexandria | GGA-PBE | optimized geometry; VASP energy = -1.989 eV/atom; E_form (uncorrected) = 0.604 eV per atom; excess energy over the best structure of this formula in the dataset = 0.567 eV/atom; density of states at the Fermi level = 0.735 states/eV/atom
1.0
8.148 0.000 0.000
0.000 8.148 0.000
0.000 0.000 8.084
Te S I
4 4 8
Cartesian
0.000 0.000 0.000
0.000 4.074 2.021
4.074 0.000 6.063
4.074 4.074 4.042
0.000 0.000 4.042
0.000 4.074 6.063
4.074 0.000 2.021
4.074 4.074 0.000
1.877 2.037 5.053
2.037 5.951 7.074
2.037 6.271 3.032
2.197 2.037 1.011
5.951 6.111 1.011
6.111 1.877 3.032
6.111 2.197 7.074
6.271 6.111 5.053


No. 2
Nd5Sm2Er12 | Alexandria | GGA-PBE | optimized geometry; VASP energy = -4.413 eV/atom; excess energy over the best structure of this formula in the dataset = 0.156 eV/atom; density of states at the Fermi level = 1.469 states/eV/atom; formation enthalpy at 0 K = 4.19 eV/f.u.
1.0
8.902 -4.517 0.000
8.902 4.517 0.000
-3.755 0.000 7.832
Nd Sm Er
5 2 12
Cartesian
0.000 0.000 0.000
1.219 0.000 6.199
4.015 0.000 2.098
10.034 0.000 5.733
12.830 0.000 1.632
7.025 1.552 3.916
7.025 -1.552 3.916
4.085 2.847 4.656
-1.777 0.000 5.346
6.495 1.970 0.375
9.964 2.847 3.176
7.554 1.970 7.457
4.833 0.000 6.154
9.217 0.000 1.678
6.495 -1.970 0.375
4.085 -2.847 4.656
7.554 -1.970 7.457
15.826 0.000 2.486
9.964 -2.847 3.176


No. 3
KSc2Ni | Alexandria | GGA-PBE | optimized geometry; VASP energy = -4.086 eV/atom; excess energy over the best structure of this formula in the dataset = 0.746 eV/atom; density of states at the Fermi level = 1.678 states/eV/atom; formation enthalpy at 0 K = 3.20 eV/f.u.
1.0
7.232 0.000 0.000
0.000 7.232 0.000
0.000 0.000 7.232
K Sc Ni
4 8 4
Cartesian
0.000 0.000 0.000
0.000 3.616 3.616
3.616 0.000 3.616
3.616 3.616 0.000
0.000 0.000 3.616
0.000 3.616 0.000
1.808 1.808 5.424
1.808 5.424 1.808
3.616 0.000 0.000
3.616 3.616 3.616
5.424 1.808 1.808
5.424 5.424 5.424
1.808 1.808 1.808
1.808 5.424 5.424
5.424 1.808 5.424
5.424 5.424 1.808


No. 4
Tl3In3Sn | Alexandria | GGA-PBE | optimized geometry; VASP energy = -2.737 eV/atom; excess energy over the best structure of this formula in the dataset = 0.000 eV/atom; density of states at the Fermi level = 0.427 states/eV/atom; formation enthalpy at 0 K = 0.16 eV/f.u.
1.0
5.581 0.000 0.000
0.601 8.410 0.000
0.447 3.565 8.640
Tl In Sn
6 6 2
Cartesian
1.733 4.612 4.063
1.777 3.607 7.584
1.626 2.303 1.528
5.003 9.673 7.113
4.853 8.369 1.056
4.897 7.364 4.578
1.708 5.398 0.380
2.212 9.749 5.054
2.097 7.575 2.664
4.532 4.401 5.977
4.418 2.227 3.586
4.921 6.577 8.260
2.117 6.908 6.578
4.512 5.068 2.062


No. 5
La3RuAu | Alexandria | GGA-PBE | optimized geometry; VASP energy = -5.899 eV/atom; excess energy over the best structure of this formula in the dataset = 0.055 eV/atom; density of states at the Fermi level = 0.245 states/eV/atom; formation enthalpy at 0 K = -2.16 eV/f.u.
1.0
6.627 0.000 0.000
0.000 9.965 0.000
0.000 0.000 8.352
La Ru Au
12 4 4
Cartesian
0.484 0.575 1.586
0.484 4.407 1.586
1.016 7.474 3.262
2.298 2.491 7.438
2.829 5.558 5.762
2.829 9.390 5.762
3.798 0.575 2.590
3.798 4.407 2.590
4.329 7.474 0.914
5.611 2.491 5.090
6.143 5.558 6.766
6.143 9.390 6.766
0.000 0.000 4.176
0.000 4.982 4.176
3.313 0.000 0.000
3.313 4.982 0.000
1.337 7.474 0.055
1.976 2.491 4.231
4.651 7.474 4.121
5.289 2.491 8.297


No. 6
SmZrP2 | Alexandria | GGA-PBE | optimized geometry; VASP energy = -7.482 eV/atom; excess energy over the best structure of this formula in the dataset = 0.000 eV/atom; density of states at the Fermi level = 0.370 states/eV/atom; formation enthalpy at 0 K = -5.84 eV/f.u.
1.0
6.742 0.000 0.000
0.000 3.888 0.000
-2.237 0.000 6.463
Sm Zr P
2 2 4
Cartesian
0.000 0.000 0.000
3.371 1.944 0.000
-1.119 1.944 3.231
2.252 0.000 3.231
0.007 0.000 4.711
1.126 1.944 1.752
3.378 1.944 4.711
4.497 0.000 1.752


No. 7
Ac2Zn3Ga4Pd | Alexandria | GGA-PBE | optimized geometry; VASP energy = -3.472 eV/atom; density of states at the Fermi level = 0.526 states/eV/atom; formation enthalpy at 0 K = -5.38 eV/f.u.
1.0
4.458 0.000 0.000
0.000 4.458 0.000
0.000 0.000 10.632
Ac Zn Ga Pd
2 3 4 1
Cartesian
0.000 2.229 2.623
2.229 0.000 8.010
0.000 0.000 0.000
0.000 2.229 6.719
2.229 0.000 3.914
0.000 0.000 5.316
0.000 2.229 9.307
2.229 0.000 1.325
2.229 2.229 5.316
2.229 2.229 0.000


No. 8
Hf2ZrCd2 | Alexandria | GGA-PBE | optimized geometry; VASP energy = -5.810 eV/atom; excess energy over the best structure of this formula in the dataset = 0.327 eV/atom; density of states at the Fermi level = 0.999 states/eV/atom; formation enthalpy at 0 K = 1.23 eV/f.u.
1.0
8.647 0.000 0.000
0.000 8.647 0.000
0.000 0.000 3.000
Hf Zr Cd
4 2 4
Cartesian
1.054 3.270 0.000
3.270 7.594 0.000
5.377 1.054 0.000
7.594 5.377 0.000
0.000 0.000 0.000
4.324 4.324 0.000
1.511 5.835 1.500
2.812 1.511 1.500
5.835 7.136 1.500
7.136 2.812 1.500


> Which formula does entry 5 have?

La3RuAu